No. 1
Computed, not measured: an optimized crystal structure of NbCdB at the PBE level of DFT.

extended XYZ file:
```
3
Lattice="2.1274 1.2283 3.4740 -2.1274 1.2283 3.4740 0.0000 -2.4565 3.4740" Properties=species:S:1:pos:R:3 pbc="T T T"
Cd 0.0000 0.0000 7.8165
Nb 0.0000 0.0000 0.0000
B 0.0000 0.0000 2.6055
```

**Offset from the most stable computed form**: 0.000 eV/atom
**SG**: No. 216

No. 2
Computed, not measured: an optimized crystal structure of Nb4CdB3 at the PBE level of DFT.

extended XYZ file:
```
16
Lattice="-1.6107 -0.8901 2.7278 -0.2896 -1.7961 -2.7418 19.5538 -13.8691 7.0204" Properties=species:S:1:pos:R:3 pbc="T T T"
B 11.1410 -9.9140 3.3434
B 16.7297 -13.8779 5.3499
B 9.7769 -6.9346 3.5102
B 0.0000 0.0000 0.0000
B 0.9238 -2.6775 1.6564
B 6.5124 -6.6414 3.6629
Cd 13.4950 -11.5940 6.1698
Cd 4.1585 -4.9614 0.8365
Nb 8.0443 -7.7175 2.2316
Nb 0.2727 -2.2053 -0.5586
Nb 16.5589 -11.7449 5.9451
Nb 9.6092 -8.8378 4.7747
Nb 2.9949 -2.1242 1.0753
Nb 6.7820 -4.8103 2.4349
Nb 17.3808 -14.3501 7.5650
Nb 12.7718 -9.0588 4.5854
```

**SG**: No. 194

No. 3
Computed, not measured: an optimized crystal structure of NdCdB at the PBE level of DFT.

extended XYZ file:
```
3
Lattice="2.0853 -2.9610 2.6064 0.1123 0.6071 4.4190 -2.3665 -2.6699 2.6796" Properties=species:S:1:pos:R:3 pbc="T T T"
Cd -0.0422 -1.2560 2.4263
B 0.0000 0.0000 0.0000
Nd -0.1267 -3.7679 7.2788
```

**SG**: No. 216

No. 4
Computed, not measured: an optimized crystal structure of CdNi2B at the PBE level of DFT.

extended XYZ file:
```
4
Lattice="2.0075 -3.5059 0.5471 1.6377 -0.8660 3.6317 -1.6199 -2.9361 2.3187" Properties=species:S:1:pos:R:3 pbc="T T T"
Cd 0.5063 -1.8270 1.6244
B 1.0126 -3.6540 3.2487
Ni 0.0000 0.0000 0.0000
Ni 1.5189 -5.4810 4.8731
```

**SG**: No. 216

Number 1: calculated total energy -4.599 eV/atom. Number 2: calculated total energy -8.051 eV/atom. Number 3: calculated total energy -4.103 eV/atom. Number 4: calculated total energy -4.062 eV/atom.